[1]
TeRuRh2 | GGA-PBE | optimized geometry

extended XYZ file:
```
4
Lattice="2.9494 0.0000 0.0000 0.0000 2.9494 0.0000 0.0000 0.0000 7.5682" Properties=species:S:1:pos:R:3 pbc="T T T"
Te 0.0000 0.0000 0.0000
Ru 0.0000 0.0000 3.7841
Rh 1.4747 1.4747 2.0528
Rh 1.4747 1.4747 5.5154
```

Output
Raw formation energy in eV/atom: 0.295
Uncorrected energy in eV/atom: -6.48

***

[2]
Te2RuRh | GGA-PBE | optimized geometry

extended XYZ file:
```
4
Lattice="-1.9735 1.9735 4.8035 1.9735 -1.9735 4.8035 1.9735 1.9735 -4.8035" Properties=species:S:1:pos:R:3 pbc="T T T"
Te 0.0000 0.0000 0.0000
Te 0.0000 1.9735 2.4018
Ru 0.0000 0.0000 4.8035
Rh 1.9735 0.0000 2.4018
```

Output
Raw formation energy in eV/atom: 0.345
Uncorrected energy in eV/atom: -5.38
Energy above the lowest structure with this stoichiometry in eV per atom: 0.4259